<w>
A geometry-optimized Ho2Rh3Pb2 structure, computed with GGA-PBE.

Cell lengths 7.390, 7.390, 7.390 Å; angles 109.47, 109.47, 109.47 degrees
Sites, in units of the cell vectors:
1 Ho 0.000 0.041 0.500
2 Ho 0.041 0.500 0.000
3 Ho 0.459 0.459 0.459
4 Ho 0.500 0.000 0.041
5 Rh 0.002 0.250 0.252
6 Rh 0.248 0.498 0.750
7 Rh 0.250 0.252 0.002
8 Rh 0.252 0.002 0.250
9 Rh 0.498 0.750 0.248
10 Rh 0.750 0.248 0.498
11 Pb 0.000 0.622 0.500
12 Pb 0.500 0.000 0.622
13 Pb 0.622 0.500 0.000
14 Pb 0.878 0.878 0.878

Results
N(E_F) (states/eV/cell): 9.4
Spin magnetization (μB/atom): 0.000
Space-group type: I2_13

---

<x>
A geometry-optimized Ho2Rh3Pb2 structure, computed with GGA-PBE.

Cell lengths 4.797, 4.797, 8.098 Å; angles 107.23, 107.23, 59.92 degrees
Sites, in units of the cell vectors:
1 Ho 0.124 0.124 0.370
2 Ho 0.876 0.876 0.630
3 Rh 0.000 0.000 0.000
4 Rh 0.253 0.253 0.758
5 Rh 0.747 0.747 0.242
6 Pb 0.383 0.383 0.149
7 Pb 0.617 0.617 0.851

Results
N(E_F) (states/eV/cell): 3.6
Spin magnetization (μB/atom): 0.000
Space-group type: C2/m

---

Pick the most stable structure from those above. Pick: <w>